A plane-wave DFT calculation with PBE was carried out for a geometry-optimized CrNi3 structure.

```
CrNi3
1.0
4.143 -1.232 0.000
4.143 1.232 0.000
-0.711 0.000 4.283
Cr Ni
1 3
Direct
0.000 0.000 0.000
0.249 0.249 0.753
0.500 0.500 0.500
0.751 0.751 0.247
```

Computed properties:
SG   C2/m (12)
DFT formation energy   0.025 eV per atom

***

A plane-wave DFT calculation with PBE was carried out for a geometry-optimized MoBr3 structure.

```
MoBr3
1.0
9.118 0.000 0.000
-4.559 7.896 0.000
0.000 0.000 6.382
Mo Br
4 12
Direct
0.000 0.000 0.000
0.000 0.000 0.500
0.333 0.667 0.250
0.667 0.333 0.750
0.000 0.500 0.000
0.000 0.500 0.500
0.127 0.253 0.750
0.127 0.873 0.750
0.253 0.127 0.250
0.500 0.000 0.000
0.500 0.000 0.500
0.500 0.500 0.000
0.500 0.500 0.500
0.747 0.873 0.750
0.873 0.127 0.250
0.873 0.747 0.250
```

Computed properties:
ΔE_f (raw)   2.990 kcal/mol of atoms
SG   P6_3/mmc (194)

***

A plane-wave DFT calculation with PBE was carried out for a geometry-optimized PaBe4Mo structure.

```
PaBe4Mo
1.0
0.000 3.382 3.382
3.382 0.000 3.382
3.382 3.382 0.000
Pa Be Mo
1 4 1
Direct
0.000 0.000 0.000
0.130 0.623 0.623
0.623 0.130 0.623
0.623 0.623 0.130
0.623 0.623 0.623
0.250 0.250 0.250
```

Computed properties:
SG   F-43m (216)
DFT formation energy   0.072 eV per atom

***

A plane-wave DFT calculation with PBE was carried out for a geometry-optimized NdDyCd structure.

```
NdDyCd
1.0
-2.612 2.612 3.689
2.612 -2.612 3.689
2.612 2.612 -3.689
Nd Dy Cd
1 1 1
Direct
0.000 0.000 0.000
0.500 0.500 0.000
0.750 0.250 0.500
```

Computed properties:
SG   I-4m2 (119)
Energy above the lowest structure with this stoichiometry   311 meV per atom
DFT formation energy   0.094 eV per atom

***

A plane-wave DFT calculation with PBE was carried out for a geometry-optimized LaCd2Os structure.

```
LaCd2Os
1.0
2.831 -4.465 0.000
2.831 4.465 0.000
0.000 0.000 3.550
La Cd Os
1 2 1
Direct
0.000 0.000 0.000
0.000 0.500 0.500
0.500 0.000 0.500
0.500 0.500 0.000
```

Computed properties:
SG   Cmmm (65)
DFT formation energy   0.419 eV per atom

***

A plane-wave DFT calculation with PBE was carried out for a geometry-optimized ScZnMo structure.

```
ScZnMo
1.0
4.689 0.000 0.000
-2.344 4.061 0.000
0.000 0.000 2.711
Sc Zn Mo
1 1 1
Direct
0.000 0.000 0.000
0.667 0.333 0.393
0.333 0.667 0.579
```

Computed properties:
SG   P3m1 (156)
Energy above the lowest structure with this stoichiometry   106 meV per atom
DFT formation energy   0.148 eV per atom

***

A plane-wave DFT calculation with PBE was carried out for a geometry-optimized Tb2HoGe3Pt4 structure.

```
Tb2HoGe3Pt4
1.0
4.201 0.000 0.000
0.000 4.201 0.000
0.000 0.000 11.399
Tb Ho Ge Pt
2 1 3 4
Direct
0.000 0.500 0.221
0.500 0.000 0.779
0.000 0.000 0.500
0.000 0.500 0.872
0.500 0.000 0.128
0.500 0.500 0.500
0.000 0.000 0.000
0.000 0.500 0.658
0.500 0.000 0.342
0.500 0.500 0.000
```

Computed properties:
SG   P-4m2 (115)
DFT formation energy   -0.952 eV per atom

***

A plane-wave DFT calculation with PBE was carried out for a geometry-optimized Tm6In4Pb7 structure.

```
Tm6In4Pb7
1.0
-4.973 4.973 4.973
4.973 -4.973 4.973
4.973 4.973 -4.973
Tm In Pb
6 4 7
Direct
0.000 0.291 0.291
0.000 0.709 0.709
0.291 0.000 0.291
0.291 0.291 0.000
0.709 0.000 0.709
0.709 0.709 0.000
0.000 0.000 0.500
0.000 0.500 0.000
0.500 0.000 0.000
0.500 0.500 0.500
0.000 0.000 0.000
0.250 0.500 0.750
0.250 0.750 0.500
0.500 0.250 0.750
0.500 0.750 0.250
0.750 0.250 0.500
0.750 0.500 0.250
```

Computed properties:
SG   Im-3m (229)
DFT formation energy   -0.130 eV per atom

***

A plane-wave DFT calculation with PBE was carried out for a geometry-optimized Sm5Al4 structure.

```
Sm5Al4
1.0
5.504 -2.377 0.000
5.504 2.377 0.000
-4.686 0.000 9.419
Sm Al
5 4
Direct
0.000 0.000 0.000
0.104 0.104 0.403
0.243 0.243 0.830
0.757 0.757 0.170
0.896 0.896 0.597
0.384 0.384 0.379
0.454 0.454 0.170
0.546 0.546 0.830
0.616 0.616 0.621
```

Computed properties:
SG   C2/m (12)
DFT formation energy   -0.323 eV per atom

***

A plane-wave DFT calculation with PBE was carried out for a geometry-optimized Th4Ge8Pt structure.

```
Th4Ge8Pt
1.0
4.117 0.000 0.000
0.000 4.203 0.000
0.000 0.000 17.096
Th Ge Pt
4 8 1
Direct
0.000 0.000 0.000
0.000 0.500 0.488
0.500 0.000 0.787
0.500 0.500 0.279
0.000 0.000 0.334
0.000 0.000 0.624
0.000 0.500 0.139
0.000 0.500 0.855
0.500 0.000 0.139
0.500 0.000 0.431
0.500 0.500 0.623
0.500 0.500 0.944
0.000 0.500 0.710
```

Computed properties:
SG   Pmm2 (25)
DFT formation energy   -0.671 eV per atom

***

A plane-wave DFT calculation with PBE was carried out for a geometry-optimized Re2HgRh2 structure.

```
Re2HgRh2
1.0
7.738 0.000 0.000
0.000 7.738 0.000
0.000 0.000 2.720
Re Hg Rh
4 2 4
Direct
0.169 0.331 0.000
0.331 0.831 0.000
0.669 0.169 0.000
0.831 0.669 0.000
0.000 0.000 0.500
0.500 0.500 0.500
0.123 0.623 0.500
0.377 0.123 0.500
0.623 0.877 0.500
0.877 0.377 0.500
```

Computed properties:
SG   P4/mbm (127)
Energy above the lowest structure with this stoichiometry   82 meV per atom
DFT formation energy   0.390 eV per atom

***

A plane-wave DFT calculation with PBE was carried out for a geometry-optimized LaMoSe2N structure.

```
LaMoSe2N
1.0
5.150 0.000 0.000
0.000 5.150 0.000
0.000 0.000 3.877
La Mo Se N
1 1 2 1
Direct
0.000 0.000 0.000
0.500 0.500 0.500
0.000 0.500 0.500
0.500 0.000 0.500
0.500 0.500 0.000
```

Computed properties:
ΔE_f (raw)   -18.508 kcal/mol of atoms
SG   P4/mmm (123)
Energy above the lowest structure with this stoichiometry   0 meV per atom

***

A plane-wave DFT calculation with PBE was carried out for a geometry-optimized TmPa2Tc3 structure.

```
TmPa2Tc3
1.0
3.450 0.000 0.000
0.000 3.450 0.000
0.000 0.000 10.239
Tm Pa Tc
1 2 3
Direct
0.000 0.000 0.000
0.000 0.000 0.329
0.000 0.000 0.671
0.500 0.500 0.189
0.500 0.500 0.500
0.500 0.500 0.811
```

Computed properties:
SG   P4/mmm (123)
Energy above the lowest structure with this stoichiometry   11 meV per atom
DFT formation energy   -0.236 eV per atom

***

A plane-wave DFT calculation with PBE was carried out for a geometry-optimized Si2TcW structure.

```
Si2TcW
1.0
2.818 0.000 0.000
0.000 3.874 0.000
-0.013 0.000 5.293
Si Tc W
2 1 1
Direct
0.004 0.000 0.233
0.996 0.000 0.767
0.000 0.500 0.500
0.500 0.500 0.000
```

Computed properties:
ΔE_f (raw)   -0.007 kcal/mol of atoms
SG   P2/m (10)
Energy above the lowest structure with this stoichiometry   375 meV per atom

***

A plane-wave DFT calculation with PBE was carried out for a geometry-optimized InTeRu2 structure.

```
InTeRu2
1.0
4.209 -1.587 0.000
4.209 1.587 0.000
-1.201 0.000 5.461
In Te Ru
1 1 2
Direct
0.000 0.000 0.000
0.500 0.500 0.500
0.251 0.251 0.721
0.749 0.749 0.279
```

Computed properties:
ΔE_f (raw)   5.899 kcal/mol of atoms
SG   C2/m (12)
Energy above the lowest structure with this stoichiometry   89 meV per atom

***

A plane-wave DFT calculation with PBE was carried out for a geometry-optimized Mn4NbGe2 structure.

```
Mn4NbGe2
1.0
-1.729 1.729 8.219
1.729 -1.729 8.219
1.729 1.729 -8.219
Mn Nb Ge
4 1 2
Direct
0.152 0.152 0.000
0.250 0.750 0.500
0.750 0.250 0.500
0.848 0.848 0.000
0.000 0.000 0.000
0.399 0.399 0.000
0.601 0.601 0.000
```

Computed properties:
SG   I4/mmm (139)
DFT formation energy   0.230 eV per atom

***

A plane-wave DFT calculation with PBE was carried out for a geometry-optimized Pr2CdPb4 structure.

```
Pr2CdPb4
1.0
4.664 -4.863 0.000
4.664 4.863 0.000
0.000 0.000 4.847
Pr Cd Pb
2 1 4
Direct
0.248 0.752 0.000
0.752 0.248 0.000
0.500 0.500 0.500
0.000 0.500 0.500
0.245 0.245 0.000
0.500 0.000 0.500
0.755 0.755 0.000
```

Computed properties:
SG   Cmmm (65)
Energy above the lowest structure with this stoichiometry   7 meV per atom
DFT formation energy   -0.356 eV per atom

***

A plane-wave DFT calculation with PBE was carried out for a geometry-optimized Al2Ni structure.

```
Al2Ni
1.0
4.126 0.000 0.000
-0.844 4.596 0.000
-0.182 -1.810 4.559
Al Ni
4 2
Direct
0.142 0.098 0.294
0.266 0.580 0.869
0.734 0.420 0.131
0.858 0.902 0.706
0.302 0.667 0.408
0.698 0.333 0.592
```

Computed properties:
SG   P-1 (2)
DFT formation energy   -0.417 eV per atom

***

A plane-wave DFT calculation with PBE was carried out for a geometry-optimized LiDyErCo structure.

```
LiDyErCo
1.0
0.000 3.418 3.418
3.418 0.000 3.418
3.418 3.418 0.000
Li Dy Er Co
1 1 1 1
Direct
0.000 0.000 0.000
0.250 0.250 0.250
0.750 0.750 0.750
0.500 0.500 0.500
```

Computed properties:
SG   F-43m (216)
DFT formation energy   -0.091 eV per atom

***

A plane-wave DFT calculation with PBE was carried out for a geometry-optimized AlCdW2 structure.

```
AlCdW2
1.0
3.290 0.000 0.000
0.000 3.290 0.000
0.000 0.000 6.366
Al Cd W
1 1 2
Direct
0.000 0.000 0.000
0.500 0.500 0.261
0.000 0.000 0.558
0.500 0.500 0.760
```

Computed properties:
SG   P4mm (99)
Energy above the lowest structure with this stoichiometry   27 meV per atom
DFT formation energy   0.278 eV per atom

***

A plane-wave DFT calculation with PBE was carried out for a geometry-optimized Cr2SbIrOs structure.

```
Cr2SbIrOs
1.0
4.572 0.000 0.000
0.000 4.572 0.000
0.000 0.000 4.694
Cr Sb Ir Os
2 1 1 1
Direct
0.000 0.500 0.000
0.500 0.000 0.000
0.000 0.000 0.000
0.000 0.000 0.500
0.500 0.500 0.500
```

Computed properties:
ΔE_f (raw)   55.891 kcal/mol of atoms
SG   P4/mmm (123)

***

A plane-wave DFT calculation with PBE was carried out for a geometry-optimized InTeOs2 structure.

```
InTeOs2
1.0
-1.509 2.231 5.913
1.509 -2.231 5.913
1.509 2.231 -5.913
In Te Os
1 1 2
Direct
0.000 0.000 0.000
0.272 0.772 0.500
0.481 0.481 0.000
0.661 0.161 0.500
```

Computed properties:
ΔE_f (raw)   16.870 kcal/mol of atoms
SG   Imm2 (44)
Energy above the lowest structure with this stoichiometry   336 meV per atom

***

A plane-wave DFT calculation with PBE was carried out for a geometry-optimized Rb3Pr2HfSe6 structure.

```
Rb3Pr2HfSe6
1.0
3.674 -6.364 0.000
3.674 6.364 0.000
-2.463 0.000 8.031
Rb Pr Hf Se
3 2 1 6
Direct
0.000 0.000 0.000
0.328 0.672 0.000
0.672 0.328 0.000
0.166 0.834 0.500
0.834 0.166 0.500
0.500 0.500 0.500
0.127 0.434 0.302
0.261 0.261 0.700
0.434 0.127 0.302
0.566 0.873 0.698
0.739 0.739 0.300
0.873 0.566 0.698
```

Computed properties:
ΔE_f (raw)   -35.597 kcal/mol of atoms
SG   C2/m (12)

***

A plane-wave DFT calculation with PBE was carried out for a geometry-optimized WSe2Cl structure.

```
WSe2Cl
1.0
3.152 0.000 0.000
0.000 4.478 0.000
0.000 0.000 5.028
W Se Cl
1 2 1
Direct
0.000 0.000 0.000
0.000 0.500 0.500
0.500 0.000 0.500
0.500 0.500 0.000
```

Computed properties:
ΔE_f (raw)   21.894 kcal/mol of atoms
SG   Pmmm (47)
Energy above the lowest structure with this stoichiometry   1274 meV per atom

***

A plane-wave DFT calculation with PBE was carried out for a geometry-optimized Na4Te structure.

```
Na4Te
1.0
6.013 0.000 0.000
0.000 6.013 0.000
0.000 0.000 6.013
Na Te
4 1
Direct
0.000 0.000 0.000
0.000 0.500 0.500
0.500 0.000 0.500
0.500 0.500 0.000
0.500 0.500 0.500
```

Computed properties:
ΔE_f (raw)   -8.735 kcal/mol of atoms
SG   Pm-3m (221)

***

no.,E_tot (eV/atom)
1,-6.72
2,-3.83
3,-5.80
4,-3.33
5,-4.08
6,-6.00
7,-6.14
8,-3.88
9,-4.61
10,-6.26
11,-7.59
12,-7.01
13,-9.33
14,-8.54
15,-5.85
16,-7.77
17,-3.97
18,-4.84
19,-4.64
20,-7.36
21,-6.27
22,-6.35
23,-5.15
24,-4.49
25,-2.06